Entry w
Compound: WC4
Source: Alexandria via LeMat-Bulk
Functional: GGA-PBE
Structure: relaxed

a b c (Å): 3.8703 3.8703 3.8703
angles (deg): 121.95 121.95 86.65
Positions (direct):
C1 0.7500 0.2500 0.5000
C2 0.6277 0.6277 0.0000
C3 0.3723 0.3723 0.0000
C4 0.2500 0.7500 0.5000
W1 0.0000 0.0000 0.0000

Summary:
N(E_F) = 2.22 states/eV/f.u.


Entry x
Compound: WC4
Source: Alexandria via LeMat-Bulk
Functional: GGA-PBE
Structure: relaxed

a b c (Å): 4.1801 4.1801 4.1801
angles (deg): 109.47 109.47 109.47
Positions (direct):
C1 0.0000 0.5000 0.0000
C2 0.5000 0.0000 0.0000
C3 0.0000 0.0000 0.5000
C4 0.5000 0.5000 0.5000
W1 0.0000 0.0000 0.0000

Summary:
N(E_F) = 4.06 states/eV/f.u.


Energies relative to the most stable structure, in kJ/mol of atoms: entry w 0.0; entry x 22.4.


Entry w
Compound: W3C4
Source: Alexandria via LeMat-Bulk
Functional: GGA-PBE
Structure: relaxed

a b c (Å): 8.0809 8.0809 8.0809
angles (deg): 158.43 158.43 30.69
Positions (direct):
W1 0.6871 0.6871 0.0000
W2 0.0000 0.0000 0.0000
C1 0.4536 0.4536 0.0000
C2 0.8378 0.8378 0.0000
C3 0.1622 0.1622 0.0000
C4 0.5464 0.5464 0.0000
W3 0.3129 0.3129 0.0000

Summary:
N(E_F) = 3.85 states/eV/f.u.


Entry x
Compound: W3C4
Source: Alexandria via LeMat-Bulk
Functional: GGA-PBE
Structure: relaxed

a b c (Å): 4.2991 4.2991 4.2991
angles (deg): 90.00 90.00 90.00
Positions (direct):
W1 0.5000 0.0000 0.0000
C1 0.0000 0.5000 0.5000
C2 0.5000 0.0000 0.5000
C3 0.0000 0.0000 0.0000
C4 0.5000 0.5000 0.0000
W2 0.0000 0.5000 0.0000
W3 0.0000 0.0000 0.5000

Summary:
N(E_F) = 3.39 states/eV/f.u.


Entry y
Compound: W3C4
Source: Alexandria via LeMat-Bulk
Functional: GGA-PBE
Structure: relaxed

a b c (Å): 5.8163 5.8163 2.7563
angles (deg): 90.00 90.00 120.00
Positions (direct):
W1 0.5000 0.5000 0.0000
W2 0.0000 0.5000 0.0000
W3 0.5000 0.0000 0.0000
C1 0.6667 0.3333 0.5000
C2 0.0000 0.0000 0.7501
C3 0.3333 0.6667 0.5000
C4 0.0000 0.0000 0.2499

Summary:
N(E_F) = 4.75 states/eV/f.u.


Entry z
Compound: W3C4
Source: Alexandria via LeMat-Bulk
Functional: GGA-PBE
Structure: relaxed

a b c (Å): 4.6782 4.6782 4.6782
angles (deg): 90.00 90.00 90.00
Positions (direct):
W1 0.5000 0.5000 0.0000
W2 0.0000 0.5000 0.5000
W3 0.5000 0.0000 0.5000
C1 0.7400 0.7400 0.7400
C2 0.2600 0.7400 0.2600
C3 0.2600 0.2600 0.7400
C4 0.7400 0.2600 0.2600

Summary:
N(E_F) = 4.07 states/eV/f.u.


Energies relative to the most stable structure, in kJ/mol of atoms: entry w 9.3; entry x 0.0; entry y 53.9; entry z 33.9.


Entry w
Compound: WC5
Source: Alexandria via LeMat-Bulk
Functional: GGA-PBE
Structure: relaxed

a b c (Å): 4.2122 4.2122 4.5532
angles (deg): 89.01 89.01 36.96
Positions (direct):
C1 0.0447 0.0447 0.8876
C2 0.5670 0.5670 0.3912
C3 0.3851 0.3851 0.3479
C4 0.2917 0.2917 0.6177
W1 0.7689 0.7689 0.0120
C5 0.1093 0.1093 0.5768

Summary:
N(E_F) = 2.95 states/eV/f.u.


Entry x
Compound: WC5
Source: Alexandria via LeMat-Bulk
Functional: GGA-PBE
Structure: relaxed

a b c (Å): 3.9506 3.9506 4.1145
angles (deg): 90.00 90.00 120.00
Positions (direct):
C1 0.3333 0.6667 0.5000
C2 0.6667 0.3333 0.5000
W1 0.0000 0.0000 0.5000
C3 0.0000 0.7824 0.0000
C4 0.7824 0.0000 0.0000
C5 0.2176 0.2176 0.0000

Summary:
N(E_F) = 3.01 states/eV/f.u.


Energies relative to the most stable structure, in kJ/mol of atoms: entry w 0.0; entry x 150.9.


Entry w
Compound: WC5
Source: Alexandria via LeMat-Bulk
Functional: GGA-PBE
Structure: relaxed

a b c (Å): 4.5844 4.5844 2.5039
angles (deg): 90.00 90.00 120.00
Positions (direct):
C1 0.5000 0.5000 0.5000
C2 0.5000 0.0000 0.5000
C3 0.0000 0.5000 0.5000
C4 0.6667 0.3333 0.0000
W1 0.0000 0.0000 0.0000
C5 0.3333 0.6667 0.0000

Summary:
N(E_F) = 1.24 states/eV/f.u.


Entry x
Compound: WC5
Source: Alexandria via LeMat-Bulk
Functional: GGA-PBE
Structure: relaxed

a b c (Å): 7.0098 7.0098 2.6800
angles (deg): 90.00 90.00 156.80
Positions (direct):
C1 0.2568 0.7432 0.5000
C2 0.3079 0.6921 0.0000
W1 0.0014 0.9986 0.0000
C3 0.6822 0.3178 0.5000
C4 0.6259 0.3741 0.0000
C5 0.4591 0.5409 0.5000

Summary:
N(E_F) = 1.43 states/eV/f.u.


Entry y
Compound: WC5
Source: Alexandria via LeMat-Bulk
Functional: GGA-PBE
Structure: relaxed

a b c (Å): 4.0857 4.0857 4.0857
angles (deg): 60.00 60.00 60.00
Positions (direct):
W1 0.0000 0.0000 0.0000
C1 0.5956 0.5956 0.5956
C2 0.2500 0.2500 0.2500
C3 0.5956 0.5956 0.2133
C4 0.2133 0.5956 0.5956
C5 0.5956 0.2133 0.5956

Summary:
N(E_F) = 2.83 states/eV/f.u.


Entry z
Compound: WC5
Source: Alexandria via LeMat-Bulk
Functional: GGA-PBE
Structure: relaxed

a b c (Å): 6.9252 6.9252 2.5414
angles (deg): 90.00 90.00 158.00
Positions (direct):
W1 0.1106 0.8894 0.5000
C1 0.7114 0.2886 0.0000
C2 0.4122 0.5878 0.0000
C3 0.9744 0.0256 0.0000
C4 0.3452 0.6548 0.5000
C5 0.7795 0.2205 0.5000

Summary:
N(E_F) = 0.22 states/eV/f.u.


Energies relative to the most stable structure, in kJ/mol of atoms: entry w 219.6; entry x 38.1; entry y 187.3; entry z 0.0.


Entry w
Compound: W4C3
Source: Alexandria via LeMat-Bulk
Functional: GGA-PBE
Structure: relaxed

a b c (Å): 9.9225 9.9225 9.9225
angles (deg): 163.22 163.22 23.82
Positions (direct):
C1 0.0000 0.0000 0.0000
W1 0.5669 0.5669 0.0000
W2 0.1763 0.1763 0.0000
W3 0.4331 0.4331 0.0000
C2 0.2979 0.2979 0.0000
W4 0.8237 0.8237 0.0000
C3 0.7021 0.7021 0.0000

Summary:
N(E_F) = 4.30 states/eV/f.u.


Entry x
Compound: W4C3
Source: Alexandria via LeMat-Bulk
Functional: GGA-PBE
Structure: relaxed

a b c (Å): 4.3246 4.3246 4.3246
angles (deg): 90.00 90.00 90.00
Positions (direct):
W1 0.0000 0.0000 0.0000
W2 0.5000 0.5000 0.0000
W3 0.0000 0.5000 0.5000
C1 0.5000 0.0000 0.0000
C2 0.0000 0.0000 0.5000
C3 0.0000 0.5000 0.0000
W4 0.5000 0.0000 0.5000

Summary:
N(E_F) = 4.64 states/eV/f.u.


Entry y
Compound: W4C3
Source: Alexandria via LeMat-Bulk
Functional: GGA-PBE
Structure: relaxed

a b c (Å): 4.5287 4.5287 4.5287
angles (deg): 90.00 90.00 90.00
Positions (direct):
W1 0.2217 0.7783 0.2217
W2 0.2217 0.2217 0.7783
W3 0.7783 0.7783 0.7783
C1 0.5000 0.0000 0.5000
C2 0.0000 0.5000 0.5000
C3 0.5000 0.5000 0.0000
W4 0.7783 0.2217 0.2217

Summary:
N(E_F) = 2.80 states/eV/f.u.


Entry z
Compound: W4C3
Source: Alexandria via LeMat-Bulk
Functional: GGA-PBE
Structure: relaxed

a b c (Å): 4.5126 4.5126 4.8512
angles (deg): 90.00 90.00 120.00
Positions (direct):
C1 0.5000 0.0000 0.0000
C2 0.0000 0.5000 0.0000
W1 0.0000 0.0000 0.2420
W2 0.3333 0.6667 0.5000
W3 0.6667 0.3333 0.5000
C3 0.5000 0.5000 0.0000
W4 0.0000 0.0000 0.7580

Summary:
N(E_F) = 4.42 states/eV/f.u.


Energies relative to the most stable structure, in kJ/mol of atoms: entry w 26.0; entry x 0.0; entry y 27.1; entry z 161.8.


Entry w
Compound: YWC3
Source: Alexandria via LeMat-Bulk
Functional: GGA-PBE
Structure: relaxed

a b c (Å): 4.0888 4.0888 4.0888
angles (deg): 90.00 90.00 90.00
Positions (direct):
C1 0.5000 0.0000 0.0000
C2 0.0000 0.0000 0.5000
Y1 0.5000 0.5000 0.5000
C3 0.0000 0.5000 0.0000
W1 0.0000 0.0000 0.0000

Summary:
N(E_F) = 2.45 states/eV/f.u.


Entry x
Compound: YWC3
Source: Alexandria via LeMat-Bulk
Functional: GGA-PBE
Structure: relaxed

a b c (Å): 4.1840 4.1840 4.1840
angles (deg): 90.00 90.00 90.00
Positions (direct):
C1 0.0000 0.0000 0.5000
W1 0.5000 0.5000 0.5000
C2 0.5000 0.0000 0.0000
C3 0.0000 0.5000 0.0000
Y1 0.0000 0.0000 0.0000

Summary:
N(E_F) = 4.37 states/eV/f.u.


Energies relative to the most stable structure, in kJ/mol of atoms: entry w 0.0; entry x 239.9.


Entry w
Compound: YW3C
Source: Alexandria via LeMat-Bulk
Functional: GGA-PBE
Structure: relaxed

a b c (Å): 4.8207 4.8207 4.8207
angles (deg): 90.00 90.00 90.00
Positions (direct):
C1 0.5000 0.5000 0.5000
W1 0.5000 0.0000 0.0000
Y1 0.0000 0.0000 0.0000
W2 0.0000 0.0000 0.5000
W3 0.0000 0.5000 0.0000

Summary:
N(E_F) = 7.81 states/eV/f.u.


Entry x
Compound: YW3C
Source: Alexandria via LeMat-Bulk
Functional: GGA-PBE
Structure: relaxed

a b c (Å): 4.3182 4.3182 4.3182
angles (deg): 90.00 90.00 90.00
Positions (direct):
W1 0.0000 0.5000 0.0000
Y1 0.5000 0.5000 0.5000
C1 0.0000 0.0000 0.0000
W2 0.0000 0.0000 0.5000
W3 0.5000 0.0000 0.0000

Summary:
N(E_F) = 3.88 states/eV/f.u.


Energies relative to the most stable structure, in kJ/mol of atoms: entry w 393.3; entry x 0.0.


Entry w
Compound: ZnWC3
Source: Alexandria via LeMat-Bulk
Functional: GGA-PBE
Structure: relaxed

a b c (Å): 3.7939 3.7939 3.7939
angles (deg): 90.00 90.00 90.00
Positions (direct):
C1 0.0000 0.5000 0.0000
W1 0.5000 0.5000 0.5000
Zn1 0.0000 0.0000 0.0000
C2 0.5000 0.0000 0.0000
C3 0.0000 0.0000 0.5000

Summary:
N(E_F) = 4.87 states/eV/f.u.


Entry x
Compound: ZnWC3
Source: Alexandria via LeMat-Bulk
Functional: GGA-PBE
Structure: relaxed

a b c (Å): 4.1211 4.1211 4.1211
angles (deg): 90.00 90.00 90.00
Positions (direct):
C1 0.0000 0.5000 0.0000
W1 0.0000 0.0000 0.0000
C2 0.0000 0.0000 0.5000
C3 0.5000 0.0000 0.0000
Zn1 0.5000 0.5000 0.5000

Summary:
N(E_F) = 2.96 states/eV/f.u.


Energies relative to the most stable structure, in kJ/mol of atoms: entry w 102.6; entry x 0.0.